# 1
CrRe2Pb | meta-GGA SCAN | PBEsol geometry

```
data_CrRe2Pb
_chemical_formula_sum 'Cr2 Re4 Pb2'
_symmetry_space_group_name_H-M 'P 1'
_symmetry_Int_Tables_number 1
_symmetry_space_group_name_Hall 'P 1'
_cell_length_a 3.136
_cell_length_b 4.357
_cell_length_c 9.070
_cell_angle_alpha 90.00
_cell_angle_beta 90.00
_cell_angle_gamma 90.00
loop_
_atom_site_label
_atom_site_type_symbol
_atom_site_fract_x
_atom_site_fract_y
_atom_site_fract_z
Cr1 Cr 0.000 0.000 0.000
Cr2 Cr 0.500 0.500 0.500
Re1 Re 0.000 0.500 0.261
Re2 Re 0.000 0.500 0.739
Re3 Re 0.500 0.000 0.239
Re4 Re 0.500 0.000 0.761
Pb1 Pb 0.000 0.000 0.500
Pb2 Pb 0.500 0.500 0.000
```

N(E_F) (states/eV/atom): 0.81
Calculated formation energy (meV per atom): 789
Magnetic moment (μB/cell): 3.838

---

# 2
CrRe2Pb | meta-GGA SCAN | PBEsol geometry

```
data_CrRe2Pb
_chemical_formula_sum 'Cr1 Re2 Pb1'
_symmetry_space_group_name_H-M 'P 1'
_symmetry_Int_Tables_number 1
_symmetry_space_group_name_Hall 'P 1'
_cell_length_a 2.899
_cell_length_b 3.918
_cell_length_c 5.721
_cell_angle_alpha 90.00
_cell_angle_beta 90.00
_cell_angle_gamma 90.00
loop_
_atom_site_label
_atom_site_type_symbol
_atom_site_fract_x
_atom_site_fract_y
_atom_site_fract_z
Cr1 Cr 0.000 0.000 0.000
Re1 Re 0.000 0.000 0.398
Re2 Re 0.500 0.500 0.203
Pb1 Pb 0.500 0.500 0.713
```

N(E_F) (states/eV/atom): 0.84
Calculated formation energy (meV per atom): 682
Magnetic moment (μB/cell): 0.004

---

# 3
CrRhPb | meta-GGA SCAN | PBEsol geometry

```
data_CrRhPb
_chemical_formula_sum 'Cr4 Rh4 Pb4'
_symmetry_space_group_name_H-M 'P 1'
_symmetry_Int_Tables_number 1
_symmetry_space_group_name_Hall 'P 1'
_cell_length_a 6.164
_cell_length_b 6.164
_cell_length_c 6.164
_cell_angle_alpha 90.00
_cell_angle_beta 90.00
_cell_angle_gamma 90.00
loop_
_atom_site_label
_atom_site_type_symbol
_atom_site_fract_x
_atom_site_fract_y
_atom_site_fract_z
Cr1 Cr 0.000 0.000 0.000
Cr2 Cr 0.000 0.500 0.500
Cr3 Cr 0.500 0.000 0.500
Cr4 Cr 0.500 0.500 0.000
Rh1 Rh 0.250 0.250 0.250
Rh2 Rh 0.250 0.750 0.750
Rh3 Rh 0.750 0.250 0.750
Rh4 Rh 0.750 0.750 0.250
Pb1 Pb 0.000 0.000 0.500
Pb2 Pb 0.000 0.500 0.000
Pb3 Pb 0.500 0.000 0.000
Pb4 Pb 0.500 0.500 0.500
```

N(E_F) (states/eV/atom): 0.82
Calculated formation energy (meV per atom): 125
Magnetic moment (μB/cell): 13.796

---

# 4
CrRhPb2 | meta-GGA SCAN | PBEsol geometry

```
data_CrRhPb2
_chemical_formula_sum 'Cr2 Rh2 Pb4'
_symmetry_space_group_name_H-M 'P 1'
_symmetry_Int_Tables_number 1
_symmetry_space_group_name_Hall 'P 1'
_cell_length_a 10.732
_cell_length_b 3.127
_cell_length_c 4.929
_cell_angle_alpha 90.00
_cell_angle_beta 107.79
_cell_angle_gamma 90.00
loop_
_atom_site_label
_atom_site_type_symbol
_atom_site_fract_x
_atom_site_fract_y
_atom_site_fract_z
Cr1 Cr 0.000 0.000 0.000
Cr2 Cr 0.500 0.500 0.000
Rh1 Rh 0.316 0.000 0.717
Rh2 Rh 0.816 0.500 0.717
Pb1 Pb 0.054 0.500 0.543
Pb2 Pb 0.265 0.500 0.181
Pb3 Pb 0.554 0.000 0.543
Pb4 Pb 0.765 0.000 0.181
```

N(E_F) (states/eV/atom): 0.69
Calculated formation energy (meV per atom): 230
Magnetic moment (μB/cell): 7.585

---

# 5
YCr2RuPb | meta-GGA SCAN | PBEsol geometry

```
data_YCr2RuPb
_chemical_formula_sum 'Y1 Cr2 Ru1 Pb1'
_symmetry_space_group_name_H-M 'P 1'
_symmetry_Int_Tables_number 1
_symmetry_space_group_name_Hall 'P 1'
_cell_length_a 5.023
_cell_length_b 5.023
_cell_length_c 4.678
_cell_angle_alpha 90.00
_cell_angle_beta 90.00
_cell_angle_gamma 90.00
loop_
_atom_site_label
_atom_site_type_symbol
_atom_site_fract_x
_atom_site_fract_y
_atom_site_fract_z
Y1 Y 0.000 0.000 0.000
Cr1 Cr 0.000 0.500 0.000
Cr2 Cr 0.500 0.000 0.000
Ru1 Ru 0.000 0.000 0.500
Pb1 Pb 0.500 0.500 0.500
```

N(E_F) (states/eV/atom): 0.70
Calculated formation energy (meV per atom): 1530
Magnetic moment (μB/cell): 9.512

---

# 6
Cr3PbS | meta-GGA SCAN | PBEsol geometry

```
data_Cr3PbS
_chemical_formula_sum 'Cr3 Pb1 S1'
_symmetry_space_group_name_H-M 'P 1'
_symmetry_Int_Tables_number 1
_symmetry_space_group_name_Hall 'P 1'
_cell_length_a 4.195
_cell_length_b 4.195
_cell_length_c 4.195
_cell_angle_alpha 90.00
_cell_angle_beta 90.00
_cell_angle_gamma 90.00
loop_
_atom_site_label
_atom_site_type_symbol
_atom_site_fract_x
_atom_site_fract_y
_atom_site_fract_z
Cr1 Cr 0.000 0.000 0.500
Cr2 Cr 0.000 0.500 0.000
Cr3 Cr 0.500 0.000 0.000
Pb1 Pb 0.500 0.500 0.500
S1 S 0.000 0.000 0.000
```

N(E_F) (states/eV/atom): 0.81
E_form (uncorrected) (eV/f.u.): 2.17
Magnetic moment (μB/cell): 2.837

---

# 7
CrPb3S | meta-GGA SCAN | PBEsol geometry

```
data_CrPb3S
_chemical_formula_sum 'Cr1 Pb3 S1'
_symmetry_space_group_name_H-M 'P 1'
_symmetry_Int_Tables_number 1
_symmetry_space_group_name_Hall 'P 1'
_cell_length_a 5.395
_cell_length_b 5.395
_cell_length_c 5.395
_cell_angle_alpha 90.00
_cell_angle_beta 90.00
_cell_angle_gamma 90.00
loop_
_atom_site_label
_atom_site_type_symbol
_atom_site_fract_x
_atom_site_fract_y
_atom_site_fract_z
Cr1 Cr 0.000 0.000 0.000
Pb1 Pb 0.000 0.500 0.500
Pb2 Pb 0.500 0.000 0.500
Pb3 Pb 0.500 0.500 0.000
S1 S 0.500 0.500 0.500
```

N(E_F) (states/eV/atom): 0.56
E_form (uncorrected) (eV/f.u.): 2.52
Magnetic moment (μB/cell): 5.021

---

# 8
CrSbPb | meta-GGA SCAN | PBEsol geometry

```
data_CrSbPb
_chemical_formula_sum 'Cr2 Sb2 Pb2'
_symmetry_space_group_name_H-M 'P 1'
_symmetry_Int_Tables_number 1
_symmetry_space_group_name_Hall 'P 1'
_cell_length_a 3.338
_cell_length_b 3.338
_cell_length_c 12.582
_cell_angle_alpha 90.00
_cell_angle_beta 90.00
_cell_angle_gamma 90.00
loop_
_atom_site_label
_atom_site_type_symbol
_atom_site_fract_x
_atom_site_fract_y
_atom_site_fract_z
Cr1 Cr 0.000 0.000 0.000
Cr2 Cr 0.500 0.500 0.500
Sb1 Sb 0.000 0.000 0.620
Sb2 Sb 0.500 0.500 0.120
Pb1 Pb 0.000 0.000 0.346
Pb2 Pb 0.500 0.500 0.846
```

N(E_F) (states/eV/atom): 0.49
E_form (uncorrected) (eV/f.u.): 0.43
Magnetic moment (μB/cell): 7.980

---

# 9
CrSbPb | meta-GGA SCAN | PBEsol geometry

```
data_CrSbPb
_chemical_formula_sum 'Cr1 Sb1 Pb1'
_symmetry_space_group_name_H-M 'P 1'
_symmetry_Int_Tables_number 1
_symmetry_space_group_name_Hall 'P 1'
_cell_length_a 4.573
_cell_length_b 4.573
_cell_length_c 4.221
_cell_angle_alpha 90.00
_cell_angle_beta 90.00
_cell_angle_gamma 120.00
loop_
_atom_site_label
_atom_site_type_symbol
_atom_site_fract_x
_atom_site_fract_y
_atom_site_fract_z
Cr1 Cr 0.000 0.000 0.000
Sb1 Sb 0.667 0.333 0.000
Pb1 Pb 0.333 0.667 0.500
```

N(E_F) (states/eV/atom): 0.56
E_form (uncorrected) (eV/f.u.): 0.67
Magnetic moment (μB/cell): 4.274

---

# 10
CrSbTe2Pb | meta-GGA SCAN | PBEsol geometry

```
data_CrSbTe2Pb
_chemical_formula_sum 'Cr1 Sb1 Te2 Pb1'
_symmetry_space_group_name_H-M 'P 1'
_symmetry_Int_Tables_number 1
_symmetry_space_group_name_Hall 'P 1'
_cell_length_a 5.751
_cell_length_b 5.751
_cell_length_c 5.637
_cell_angle_alpha 90.00
_cell_angle_beta 90.00
_cell_angle_gamma 90.00
loop_
_atom_site_label
_atom_site_type_symbol
_atom_site_fract_x
_atom_site_fract_y
_atom_site_fract_z
Cr1 Cr 0.000 0.000 0.000
Sb1 Sb 0.500 0.500 0.000
Te1 Te 0.000 0.500 0.500
Te2 Te 0.500 0.000 0.500
Pb1 Pb 0.500 0.500 0.500
```

N(E_F) (states/eV/atom): 0.89
E_form (uncorrected) (eV/f.u.): 4.71
Magnetic moment (μB/cell): 3.383

---

# 11
ScCr2Pb | meta-GGA SCAN | PBEsol geometry

```
data_ScCr2Pb
_chemical_formula_sum 'Sc3 Cr6 Pb3'
_symmetry_space_group_name_H-M 'P 1'
_symmetry_Int_Tables_number 1
_symmetry_space_group_name_Hall 'P 1'
_cell_length_a 3.126
_cell_length_b 3.126
_cell_length_c 27.582
_cell_angle_alpha 90.00
_cell_angle_beta 90.00
_cell_angle_gamma 120.00
loop_
_atom_site_label
_atom_site_type_symbol
_atom_site_fract_x
_atom_site_fract_y
_atom_site_fract_z
Sc1 Sc 0.000 0.000 0.000
Sc2 Sc 0.333 0.667 0.667
Sc3 Sc 0.667 0.333 0.333
Cr1 Cr 0.000 0.000 0.253
Cr2 Cr 0.000 0.000 0.747
Cr3 Cr 0.333 0.667 0.414
Cr4 Cr 0.333 0.667 0.920
Cr5 Cr 0.667 0.333 0.080
Cr6 Cr 0.667 0.333 0.586
Pb1 Pb 0.000 0.000 0.500
Pb2 Pb 0.333 0.667 0.167
Pb3 Pb 0.667 0.333 0.833
```

N(E_F) (states/eV/atom): 0.78
Calculated formation energy (meV per atom): 416
Magnetic moment (μB/cell): 22.022

---

# 12
ScCr2Pb | meta-GGA SCAN | PBEsol geometry

```
data_ScCr2Pb
_chemical_formula_sum 'Sc2 Cr4 Pb2'
_symmetry_space_group_name_H-M 'P 1'
_symmetry_Int_Tables_number 1
_symmetry_space_group_name_Hall 'P 1'
_cell_length_a 4.350
_cell_length_b 4.350
_cell_length_c 7.592
_cell_angle_alpha 90.00
_cell_angle_beta 90.00
_cell_angle_gamma 90.00
loop_
_atom_site_label
_atom_site_type_symbol
_atom_site_fract_x
_atom_site_fract_y
_atom_site_fract_z
Sc1 Sc 0.000 0.000 0.000
Sc2 Sc 0.500 0.500 0.500
Cr1 Cr 0.000 0.000 0.500
Cr2 Cr 0.000 0.500 0.250
Cr3 Cr 0.500 0.000 0.750
Cr4 Cr 0.500 0.500 0.000
Pb1 Pb 0.000 0.500 0.750
Pb2 Pb 0.500 0.000 0.250
```

N(E_F) (states/eV/atom): 0.35
Calculated formation energy (meV per atom): -115
Magnetic moment (μB/cell): 2.035

---

# 13
ScTiCrPb2 | meta-GGA SCAN | PBEsol geometry

```
data_ScTiCrPb2
_chemical_formula_sum 'Sc1 Ti1 Cr1 Pb2'
_symmetry_space_group_name_H-M 'P 1'
_symmetry_Int_Tables_number 1
_symmetry_space_group_name_Hall 'P 1'
_cell_length_a 5.309
_cell_length_b 5.309
_cell_length_c 4.669
_cell_angle_alpha 90.00
_cell_angle_beta 90.00
_cell_angle_gamma 90.00
loop_
_atom_site_label
_atom_site_type_symbol
_atom_site_fract_x
_atom_site_fract_y
_atom_site_fract_z
Sc1 Sc 0.000 0.000 0.000
Ti1 Ti 0.000 0.000 0.500
Cr1 Cr 0.500 0.500 0.000
Pb1 Pb 0.000 0.500 0.500
Pb2 Pb 0.500 0.000 0.500
```

N(E_F) (states/eV/atom): 0.62
Calculated formation energy (meV per atom): 533
Magnetic moment (μB/cell): 5.083

---

# 14
ScTlCrPb2 | meta-GGA SCAN | PBEsol geometry

```
data_ScTlCrPb2
_chemical_formula_sum 'Sc1 Tl1 Cr1 Pb2'
_symmetry_space_group_name_H-M 'P 1'
_symmetry_Int_Tables_number 1
_symmetry_space_group_name_Hall 'P 1'
_cell_length_a 5.187
_cell_length_b 5.187
_cell_length_c 4.691
_cell_angle_alpha 90.00
_cell_angle_beta 90.00
_cell_angle_gamma 90.00
loop_
_atom_site_label
_atom_site_type_symbol
_atom_site_fract_x
_atom_site_fract_y
_atom_site_fract_z
Sc1 Sc 0.000 0.000 0.000
Tl1 Tl 0.500 0.500 0.000
Cr1 Cr 0.000 0.000 0.500
Pb1 Pb 0.000 0.500 0.500
Pb2 Pb 0.500 0.000 0.500
```

N(E_F) (states/eV/atom): 0.57
Calculated formation energy (meV per atom): 235
Magnetic moment (μB/cell): 1.882

---

# 15
CrPbSe4 | meta-GGA SCAN | PBEsol geometry

```
data_CrPbSe4
_chemical_formula_sum 'Cr1 Pb1 Se4'
_symmetry_space_group_name_H-M 'P 1'
_symmetry_Int_Tables_number 1
_symmetry_space_group_name_Hall 'P 1'
_cell_length_a 5.744
_cell_length_b 5.744
_cell_length_c 5.744
_cell_angle_alpha 60.00
_cell_angle_beta 60.00
_cell_angle_gamma 60.00
loop_
_atom_site_label
_atom_site_type_symbol
_atom_site_fract_x
_atom_site_fract_y
_atom_site_fract_z
Cr1 Cr 0.000 0.000 0.000
Pb1 Pb 0.250 0.250 0.250
Se1 Se 0.123 0.626 0.626
Se2 Se 0.626 0.123 0.626
Se3 Se 0.626 0.626 0.123
Se4 Se 0.626 0.626 0.626
```

N(E_F) (states/eV/atom): 0.44
E_form (uncorrected) (eV/f.u.): 3.18
Magnetic moment (μB/cell): 5.450

---

# 16
Cr2SiPb | meta-GGA SCAN | PBEsol geometry

```
data_Cr2SiPb
_chemical_formula_sum 'Cr4 Si2 Pb2'
_symmetry_space_group_name_H-M 'P 1'
_symmetry_Int_Tables_number 1
_symmetry_space_group_name_Hall 'P 1'
_cell_length_a 6.947
_cell_length_b 4.020
_cell_length_c 5.317
_cell_angle_alpha 90.00
_cell_angle_beta 115.99
_cell_angle_gamma 90.00
loop_
_atom_site_label
_atom_site_type_symbol
_atom_site_fract_x
_atom_site_fract_y
_atom_site_fract_z
Cr1 Cr 0.225 0.000 0.175
Cr2 Cr 0.275 0.500 0.825
Cr3 Cr 0.725 0.500 0.175
Cr4 Cr 0.775 0.000 0.825
Si1 Si 0.000 0.500 0.000
Si2 Si 0.500 0.000 0.000
Pb1 Pb 0.000 0.000 0.500
Pb2 Pb 0.500 0.500 0.500
```

N(E_F) (states/eV/atom): 0.57
E_form (uncorrected) (eV/f.u.): 1.23
Magnetic moment (μB/cell): 12.263

---

# 17
Cr2SiPb | meta-GGA SCAN | PBEsol geometry

```
data_Cr2SiPb
_chemical_formula_sum 'Cr6 Si3 Pb3'
_symmetry_space_group_name_H-M 'P 1'
_symmetry_Int_Tables_number 1
_symmetry_space_group_name_Hall 'P 1'
_cell_length_a 3.008
_cell_length_b 3.008
_cell_length_c 24.288
_cell_angle_alpha 90.00
_cell_angle_beta 90.00
_cell_angle_gamma 120.00
loop_
_atom_site_label
_atom_site_type_symbol
_atom_site_fract_x
_atom_site_fract_y
_atom_site_fract_z
Cr1 Cr 0.000 0.000 0.000
Cr2 Cr 0.000 0.000 0.270
Cr3 Cr 0.333 0.667 0.667
Cr4 Cr 0.333 0.667 0.936
Cr5 Cr 0.667 0.333 0.333
Cr6 Cr 0.667 0.333 0.603
Si1 Si 0.000 0.000 0.532
Si2 Si 0.333 0.667 0.199
Si3 Si 0.667 0.333 0.866
Pb1 Pb 0.000 0.000 0.761
Pb2 Pb 0.333 0.667 0.428
Pb3 Pb 0.667 0.333 0.095
```

N(E_F) (states/eV/atom): 0.49
E_form (uncorrected) (eV/f.u.): 2.52
Magnetic moment (μB/cell): 0.001

---

# 18
CrSi4Pb | meta-GGA SCAN | PBEsol geometry

```
data_CrSi4Pb
_chemical_formula_sum 'Cr1 Si4 Pb1'
_symmetry_space_group_name_H-M 'P 1'
_symmetry_Int_Tables_number 1
_symmetry_space_group_name_Hall 'P 1'
_cell_length_a 5.228
_cell_length_b 5.228
_cell_length_c 5.228
_cell_angle_alpha 60.00
_cell_angle_beta 60.00
_cell_angle_gamma 60.00
loop_
_atom_site_label
_atom_site_type_symbol
_atom_site_fract_x
_atom_site_fract_y
_atom_site_fract_z
Cr1 Cr 0.000 0.000 0.000
Si1 Si 0.374 0.374 0.374
Si2 Si 0.374 0.374 0.878
Si3 Si 0.374 0.878 0.374
Si4 Si 0.878 0.374 0.374
Pb1 Pb 0.750 0.750 0.750
```

N(E_F) (states/eV/atom): 0.55
E_form (uncorrected) (eV/f.u.): 3.85
Magnetic moment (μB/cell): 3.959

---

# 19
CrSi2Pb | meta-GGA SCAN | PBEsol geometry

```
data_CrSi2Pb
_chemical_formula_sum 'Cr1 Si2 Pb1'
_symmetry_space_group_name_H-M 'P 1'
_symmetry_Int_Tables_number 1
_symmetry_space_group_name_Hall 'P 1'
_cell_length_a 4.099
_cell_length_b 4.099
_cell_length_c 4.302
_cell_angle_alpha 90.00
_cell_angle_beta 90.00
_cell_angle_gamma 90.00
loop_
_atom_site_label
_atom_site_type_symbol
_atom_site_fract_x
_atom_site_fract_y
_atom_site_fract_z
Cr1 Cr 0.000 0.000 0.000
Si1 Si 0.000 0.500 0.500
Si2 Si 0.500 0.000 0.500
Pb1 Pb 0.500 0.500 0.000
```

N(E_F) (states/eV/atom): 0.42
E_form (uncorrected) (eV/f.u.): 2.46
Magnetic moment (μB/cell): 3.895

---

# 20
SrCrPb2 | meta-GGA SCAN | PBEsol geometry

```
data_SrCrPb2
_chemical_formula_sum 'Sr1 Cr1 Pb2'
_symmetry_space_group_name_H-M 'P 1'
_symmetry_Int_Tables_number 1
_symmetry_space_group_name_Hall 'P 1'
_cell_length_a 4.784
_cell_length_b 4.784
_cell_length_c 4.652
_cell_angle_alpha 90.00
_cell_angle_beta 90.00
_cell_angle_gamma 90.00
loop_
_atom_site_label
_atom_site_type_symbol
_atom_site_fract_x
_atom_site_fract_y
_atom_site_fract_z
Sr1 Sr 0.000 0.000 0.000
Cr1 Cr 0.500 0.500 0.000
Pb1 Pb 0.000 0.500 0.500
Pb2 Pb 0.500 0.000 0.500
```

N(E_F) (states/eV/atom): 0.44
Calculated formation energy (meV per atom): -163
Magnetic moment (μB/cell): 4.485

---

Number 1: density 16929 kg/m3. Number 2: density 16140 kg/m3. Number 3: density 10267 kg/m3. Number 4: density 12003 kg/m3. Number 5: density 7051 kg/m3. Number 6: density 8892 kg/m3. Number 7: density 7462 kg/m3. Number 8: density 9024 kg/m3. Number 9: density 8274 kg/m3. Number 10: density 5667 kg/m3. Number 11: density 7603 kg/m3. Number 12: density 8231 kg/m3. Number 13: density 7056 kg/m3. Number 14: density 9416 kg/m3. Number 15: density 7127 kg/m3. Number 16: density 8442 kg/m3. Number 17: density 8882 kg/m3. Number 18: density 6107 kg/m3. Number 19: density 7245 kg/m3. Number 20: density 8641 kg/m3.